# FeW3Cl

A geometry-optimized FeW3Cl structure (PBE, the Alexandria database).

Summary:
Offset from the most stable computed form   0.000 eV/atom
Energy relative to the elements, uncorrected   1799 meV per atom

Unit cell a=4.534 b=4.534 c=4.534 alpha=90.00 beta=90.00 gamma=90.00
Sites, in units of the cell vectors:
Fe (0.000, 0.000, 0.000)
W (0.000, 0.000, 0.500)
W (0.000, 0.500, 0.000)
W (0.500, 0.000, 0.000)
Cl (0.500, 0.500, 0.500)